! meta-GGA SCAN CdGeSbTe2, single point on PBEsol structure; values from VASP
&SYSTEM
  ibrav = 0, nat = 5, ntyp = 4
/
ATOMIC_SPECIES
Sb 121.76 Sb.upf
Ge 72.64 Ge.upf
Te 127.60 Te.upf
Cd 112.41 Cd.upf
CELL_PARAMETERS angstrom
5.366 0.000 0.000
0.000 5.448 0.000
0.000 0.000 5.448
ATOMIC_POSITIONS crystal
Sb 0.500 0.000 0.000
Ge 0.500 0.500 0.500
Te 0.000 0.000 0.500
Te 0.000 0.500 0.000
Cd 0.000 0.000 0.000
! ΔE_f (raw): 78.8 kJ/mol of atoms

! meta-GGA SCAN Sc3CdGe, single point on PBEsol structure; values from VASP
&SYSTEM
  ibrav = 0, nat = 5, ntyp = 3
/
ATOMIC_SPECIES
Sc 44.96 Sc.upf
Ge 72.64 Ge.upf
Cd 112.41 Cd.upf
CELL_PARAMETERS angstrom
-4.485 -1.982 1.030
1.076 -3.943 -2.899
1.957 -2.374 3.955
ATOMIC_POSITIONS crystal
Sc 0.000 0.500 0.000
Sc 0.000 0.000 0.500
Sc 0.500 0.000 0.000
Ge 0.000 0.000 0.000
Cd 0.500 0.500 0.500
! Energy of formation from the pure elements: -0.20 eV per atom

! meta-GGA SCAN ScCdGe3, single point on PBEsol structure; values from VASP
&SYSTEM
  ibrav = 0, nat = 5, ntyp = 3
/
ATOMIC_SPECIES
Sc 44.96 Sc.upf
Ge 72.64 Ge.upf
Cd 112.41 Cd.upf
CELL_PARAMETERS angstrom
5.072 0.000 0.000
0.000 5.072 0.000
0.000 0.000 5.072
ATOMIC_POSITIONS crystal
Sc 0.000 0.000 0.000
Ge 0.000 0.500 0.000
Ge 0.000 0.000 0.500
Ge 0.500 0.000 0.000
Cd 0.500 0.500 0.500
! Energy of formation from the pure elements: 0.58 eV per atom

! meta-GGA SCAN ScCd3Ge, single point on PBEsol structure; values from VASP
&SYSTEM
  ibrav = 0, nat = 5, ntyp = 3
/
ATOMIC_SPECIES
Sc 44.96 Sc.upf
Ge 72.64 Ge.upf
Cd 112.41 Cd.upf
CELL_PARAMETERS angstrom
5.315 0.000 0.000
0.000 5.315 0.000
0.000 0.000 5.315
ATOMIC_POSITIONS crystal
Sc 0.000 0.000 0.000
Ge 0.500 0.500 0.500
Cd 0.000 0.500 0.000
Cd 0.000 0.000 0.500
Cd 0.500 0.000 0.000
! Energy of formation from the pure elements: 0.98 eV per atom